DFT (SCAN) results for a PBEsol-optimized structure of CdFe2MoCl.

The structure in POSCAR format:
```
CdFe2MoCl
1.0
-1.498 0.575 4.280
3.837 -1.901 1.598
1.974 4.103 0.140
Mo Cl Fe Cd
1 1 2 1
Cartesian
0.000 0.000 0.000 Mo
0.987 2.051 0.070 Cl
1.919 -0.951 0.799 Fe
-0.749 0.287 2.140 Fe
2.157 1.388 3.009 Cd
```

***

DFT (SCAN) results for a PBEsol-optimized structure of CdGa2Cl8.

The structure in POSCAR format:
```
CdGa2Cl8
1.0
6.731 0.000 0.000
0.000 7.072 0.054
0.000 -0.583 12.947
Cd Ga Cl
2 4 16
Cartesian
1.618 6.037 10.626 Cd
5.113 6.328 4.152 Cd
0.418 5.124 7.530 Ga
6.313 5.416 1.056 Ga
2.810 2.130 10.048 Ga
3.921 2.422 3.574 Ga
3.788 2.469 8.197 Cl
2.943 2.761 1.724 Cl
0.730 1.414 9.880 Cl
6.001 1.706 3.406 Cl
0.424 3.338 6.400 Cl
6.307 3.047 12.873 Cl
0.652 0.013 0.013 Cl
6.079 -0.279 6.487 Cl
2.431 5.869 8.072 Cl
4.300 6.161 1.599 Cl
2.890 3.891 11.401 Cl
3.841 4.182 4.928 Cl
3.722 0.440 11.174 Cl
3.009 0.731 4.701 Cl
0.482 5.227 3.089 Cl
6.249 4.936 9.562 Cl
```

***

DFT (SCAN) results for a PBEsol-optimized structure of CdGaCl3.

The structure in POSCAR format:
```
CdGaCl3
1.0
5.100 0.000 0.000
0.000 5.100 0.000
0.000 0.000 5.100
Cl Ga Cd
3 1 1
Cartesian
0.000 2.550 0.000 Cl
0.000 0.000 2.550 Cl
2.550 0.000 0.000 Cl
2.550 2.550 2.550 Ga
0.000 0.000 0.000 Cd
```

***

What raw formation energy values result from the calculations? In sequence: 1.083, -1.240, -0.918 eV per atom.
What total energy values result from the calculations? In sequence: -104.12, -281.15, -75.28 eV per cell.